The following is a DFT calculation (PBE) of a geometry-optimized LaCuS2 structure.

## Properties
Crystal system: monoclinic

a b c (Å): 6.570 7.315 6.911
angles (deg): 90.00 98.23 90.00
Atoms (fractional coordinates):
La1 0.191 0.052 0.301
La2 0.191 0.448 0.801
La3 0.809 0.552 0.199
La4 0.809 0.948 0.699
Cu1 0.421 0.658 0.441
Cu2 0.421 0.842 0.941
Cu3 0.579 0.158 0.059
Cu4 0.579 0.342 0.559
S1 0.090 0.727 0.499
S2 0.090 0.773 0.999
S3 0.414 0.116 0.725
S4 0.414 0.384 0.225
S5 0.586 0.616 0.775
S6 0.586 0.884 0.275
S7 0.910 0.227 0.001
S8 0.910 0.273 0.501

The following is a DFT calculation (PBE) of a geometry-optimized La2CuS4 structure.

## Properties
Crystal system: monoclinic

a b c (Å): 7.745 7.556 10.872
angles (deg): 90.00 104.41 90.00
Atoms (fractional coordinates):
La1 0.029 0.127 0.325
La2 0.029 0.373 0.825
La3 0.441 0.203 0.139
La4 0.441 0.297 0.639
La5 0.559 0.703 0.361
La6 0.559 0.797 0.861
La7 0.971 0.627 0.175
La8 0.971 0.873 0.675
Cu1 0.178 0.615 0.495
Cu2 0.178 0.885 0.995
Cu3 0.822 0.115 0.005
Cu4 0.822 0.385 0.505
S1 0.055 0.212 0.587
S2 0.055 0.288 0.087
S3 0.253 0.604 0.708
S4 0.253 0.896 0.208
S5 0.293 0.071 0.874
S6 0.293 0.429 0.374
S7 0.389 0.555 0.026
S8 0.389 0.945 0.526
S9 0.611 0.055 0.474
S10 0.611 0.445 0.974
S11 0.707 0.571 0.626
S12 0.707 0.929 0.126
S13 0.747 0.104 0.792
S14 0.747 0.396 0.292
S15 0.945 0.712 0.913
S16 0.945 0.788 0.413

The following is a DFT calculation (PBE) of a geometry-optimized LaCuS2 structure.

## Properties
Crystal system: tetragonal

a b c (Å): 7.412 7.412 7.412
angles (deg): 134.93 134.93 65.64
Atoms (fractional coordinates):
La1 0.000 0.000 0.000
La2 0.750 0.250 0.500
Cu1 0.250 0.750 0.500
Cu2 0.500 0.500 0.000
S1 0.184 0.125 0.559
S2 0.375 0.816 0.941
S3 0.566 0.625 0.441
S4 0.875 0.434 0.059

The following is a DFT calculation (PBE) of a geometry-optimized La2CuSbS5 structure.

## Properties
Crystal system: orthorhombic

a b c (Å): 8.559 8.559 8.559
angles (deg): 78.07 127.56 126.67
Atoms (fractional coordinates):
La1 0.000 0.000 0.000
La2 0.000 0.500 0.500
La3 0.251 0.137 0.614
La4 0.522 0.637 0.386
Cu1 0.535 0.035 0.500
Cu2 0.535 0.535 0.000
Sb1 0.542 0.966 0.076
Sb2 0.889 0.466 0.924
S1 0.013 0.752 0.760
S2 0.172 0.432 0.942
S3 0.172 0.731 0.240
S4 0.491 0.231 0.058
S5 0.491 0.932 0.760
S6 0.495 0.280 0.426
S7 0.495 0.569 0.714
S8 0.855 0.069 0.574
S9 0.855 0.780 0.286
S10 0.992 0.252 0.240

The following is a DFT calculation (PBE) of a geometry-optimized SrLaCuSe2S structure.

## Properties
Crystal system: orthorhombic

a b c (Å): 7.072 7.072 10.803
angles (deg): 90.00 90.00 146.04
Atoms (fractional coordinates):
Sr1 0.238 0.762 0.750
Sr2 0.762 0.238 0.250
La1 0.500 0.500 0.000
La2 0.500 0.500 0.500
Cu1 0.028 0.972 0.250
Cu2 0.972 0.028 0.750
Se1 0.147 0.853 0.076
Se2 0.147 0.853 0.424
Se3 0.853 0.147 0.576
Se4 0.853 0.147 0.924
S1 0.429 0.571 0.250
S2 0.571 0.429 0.750

The following is a DFT calculation (PBE) of a geometry-optimized SrLaCuTeS2 structure.

## Properties
Crystal system: orthorhombic

a b c (Å): 7.413 7.413 11.368
angles (deg): 90.00 90.00 147.75
Atoms (fractional coordinates):
Sr1 0.214 0.786 0.750
Sr2 0.786 0.214 0.250
La1 0.000 0.000 0.000
La2 0.000 0.000 0.500
Cu1 0.481 0.519 0.250
Cu2 0.519 0.481 0.750
Te1 0.101 0.899 0.250
Te2 0.899 0.101 0.750
S1 0.378 0.622 0.090
S2 0.378 0.622 0.410
S3 0.622 0.378 0.590
S4 0.622 0.378 0.910

The following is a DFT calculation (PBE) of a geometry-optimized La3Cu3Sb4 structure.

## Properties
Crystal system: cubic

a b c (Å): 8.540 8.540 8.540
angles (deg): 109.47 109.47 109.47
Atoms (fractional coordinates):
La1 0.125 0.750 0.875
La2 0.250 0.625 0.375
La3 0.375 0.250 0.625
La4 0.625 0.375 0.250
La5 0.750 0.875 0.125
La6 0.875 0.125 0.750
Cu1 0.125 0.875 0.250
Cu2 0.250 0.125 0.875
Cu3 0.375 0.625 0.750
Cu4 0.625 0.750 0.375
Cu5 0.750 0.375 0.625
Cu6 0.875 0.250 0.125
Sb1 0.000 0.340 0.500
Sb2 0.000 0.840 0.500
Sb3 0.160 0.160 0.160
Sb4 0.340 0.500 0.000
Sb5 0.500 0.000 0.340
Sb6 0.500 0.000 0.840
Sb7 0.660 0.660 0.660
Sb8 0.840 0.500 0.000

The following is a DFT calculation (PBE) of a geometry-optimized LaScCuSe3 structure.

## Properties
Crystal system: orthorhombic

a b c (Å): 6.910 6.910 10.082
angles (deg): 90.00 90.00 146.48
Atoms (fractional coordinates):
La1 0.237 0.763 0.750
La2 0.763 0.237 0.250
Sc1 0.000 0.000 0.000
Sc2 0.000 0.000 0.500
Cu1 0.475 0.525 0.250
Cu2 0.525 0.475 0.750
Se1 0.084 0.916 0.250
Se2 0.361 0.639 0.060
Se3 0.361 0.639 0.440
Se4 0.639 0.361 0.560
Se5 0.639 0.361 0.940
Se6 0.916 0.084 0.750

Looking at E for the records above, in order, we have -91.2; -166.4; -43.4; -100.5; -62.4; -61.9; -101.8; -68.0 eV per cell.